Below is an optimized crystal structure of CdW3Au, with properties calculated at the PBE level.

Calculated formation energy (kJ/mol of formula units): 1438
M_tot (Bohr magnetons per cell): 0.00

a = 4.8098 Å, b = 4.8098 Å, c = 4.8098 Å
α = 90.00°, β = 90.00°, γ = 90.00°
With the nearest neighbours (Å) after each atom.
Space group Pm-3m (No. 221)
Inequivalent atoms, fractional coordinates:
Cd  0.0000  0.0000  0.0000  6 W 2.40
W  0.0000  0.0000  0.5000  2 Cd 2.40
Au  0.5000  0.5000  0.5000  12 W 3.40

=====

Below is an optimized crystal structure of PmPr2Al2Ga2, with properties calculated at the PBE level.

Calculated formation energy (kJ/mol of formula units): -294
M_tot (Bohr magnetons per cell): 1.92

a = 4.3005 Å, b = 4.3005 Å, c = 34.5350 Å
α = 90.00°, β = 90.00°, γ = 120.00°
With the nearest neighbours (Å) after each atom.
Space group R-3m (No. 166, hexagonal axes)
Inequivalent atoms, fractional coordinates:
Pm  0.0000  0.0000  0.0000  6 Al 3.23, 6 Ga 3.33
Pr  0.0000  0.0000  0.1230  3 Ga 3.21, 3 Al 3.30
Al  0.0000  0.0000  0.3932  3 Ga 2.49
Ga  0.0000  0.0000  0.2692  3 Al 2.49

=====

- Which of these has the highest M_tot?
  PmPr2Al2Ga2

=====

- What is the M_tot in the second record?
  1.92 Bohr magnetons per cell

=====

- What is the formula in the first record?
  CdW3Au

=====

Copy entry 1 word for word.
Below is an optimized crystal structure of CdW3Au, with properties calculated at the PBE level.

Calculated formation energy (kJ/mol of formula units): 1438
M_tot (Bohr magnetons per cell): 0.00

a = 4.8098 Å, b = 4.8098 Å, c = 4.8098 Å
α = 90.00°, β = 90.00°, γ = 90.00°
With the nearest neighbours (Å) after each atom.
Space group Pm-3m (No. 221)
Inequivalent atoms, fractional coordinates:
Cd  0.0000  0.0000  0.0000  6 W 2.40
W  0.0000  0.0000  0.5000  2 Cd 2.40
Au  0.5000  0.5000  0.5000  12 W 3.40